Gd3Ni, optimized geometry, DFT PBE-GGA; energy above the most stable polymorph in this dataset = 7.6 kJ per mole of atoms; space-group type = No. 139
1.0
-2.204 2.204 5.267
2.204 -2.204 5.267
2.204 2.204 -5.267
Gd Ni
3 1
Cartesian
0.000 0.000 0.000 Gd
2.204 0.000 2.634 Gd
0.000 2.204 2.634 Gd
0.000 0.000 5.267 Ni